DFT (GGA-PBE) results for a relaxed CaAcPdO4 crystal.

Output
* electronic total energy: -90.6 eV/cell

Lattice parameters (Å, degrees): 7.223 7.223 7.223 128.44 116.95 85.71
Positions (direct):
Ca1 0.460 0.210 0.250
Ca2 0.540 0.790 0.750
Ac1 0.000 0.500 0.500
Ac2 0.500 0.500 0.000
Pd1 0.000 0.000 0.500
Pd2 0.000 0.500 0.000
O1 0.158 0.737 0.421
O2 0.183 0.263 0.921
O3 0.341 0.380 0.539
O4 0.341 0.801 0.961
O5 0.659 0.199 0.039
O6 0.659 0.620 0.461
O7 0.817 0.737 0.079
O8 0.842 0.263 0.579

---

DFT (GGA-PBE) results for a relaxed Sc6Zn2Rh crystal.

Output
* E_form: -317 kJ/mol of formula units

Lattice parameters (Å, degrees): 7.829 7.829 7.829 111.59 110.51 106.36
Positions (direct):
Sc1 0.068 0.245 0.824
Sc2 0.227 0.554 0.326
Sc3 0.227 0.901 0.674
Sc4 0.310 0.237 0.548
Sc5 0.310 0.763 0.073
Sc6 0.421 0.245 0.176
Sc7 0.579 0.755 0.824
Sc8 0.690 0.237 0.927
Sc9 0.690 0.763 0.452
Sc10 0.773 0.099 0.326
Sc11 0.773 0.446 0.674
Sc12 0.932 0.755 0.176
Zn1 0.000 0.136 0.136
Zn2 0.000 0.864 0.864
Zn3 0.140 0.500 0.640
Zn4 0.860 0.500 0.360
Rh1 0.500 0.000 0.500
Rh2 0.500 0.500 0.000

---

DFT (GGA-PBE) results for a relaxed LaHg3Ru crystal.

Output
* relative energy among the computed polymorphs: 0.000 eV per atom
* E_form: 76 kJ/mol of formula units

Lattice parameters (Å, degrees): 5.173 5.173 5.173 90.00 90.00 90.00
Positions (direct):
La1 0.000 0.000 0.000
Hg1 0.000 0.500 0.500
Hg2 0.500 0.000 0.500
Hg3 0.500 0.500 0.000
Ru1 0.500 0.500 0.500

---

DFT (GGA-PBE) results for a relaxed Mg2ScRh3 crystal.

Output
* relative energy among the computed polymorphs: 0.003 eV per atom
* E_form: -414 kJ/mol of formula units

Lattice parameters (Å, degrees): 4.456 4.456 10.936 90.00 90.00 120.00
Positions (direct):
Mg1 0.000 0.000 0.000
Mg2 0.000 0.000 0.500
Mg3 0.333 0.667 0.162
Mg4 0.667 0.333 0.838
Sc1 0.333 0.667 0.669
Sc2 0.667 0.333 0.331
Rh1 0.000 0.000 0.249
Rh2 0.000 0.000 0.751
Rh3 0.333 0.667 0.417
Rh4 0.333 0.667 0.916
Rh5 0.667 0.333 0.084
Rh6 0.667 0.333 0.583

---

DFT (GGA-PBE) results for a relaxed Pm2Sm5Tm4 crystal.

Output
* relative energy among the computed polymorphs: 0.000 eV per atom
* E_form: 152 kJ/mol of formula units

Lattice parameters (Å, degrees): 9.152 9.152 12.083 107.01 107.01 22.45
Positions (direct):
Pm1 0.178 0.178 0.295
Pm2 0.822 0.822 0.705
Sm1 0.000 0.000 0.000
Sm2 0.334 0.334 0.988
Sm3 0.390 0.390 0.483
Sm4 0.610 0.610 0.517
Sm5 0.666 0.666 0.012
Tm1 0.169 0.169 0.769
Tm2 0.496 0.496 0.247
Tm3 0.504 0.504 0.753
Tm4 0.831 0.831 0.231

---

DFT (GGA-PBE) results for a relaxed NdEu2Tm crystal.

Output
* relative energy among the computed polymorphs: 0.065 eV per atom
* E_form: 63 kJ/mol of formula units

Lattice parameters (Å, degrees): 5.960 5.960 4.050 90.00 90.00 90.00
Positions (direct):
Nd1 0.000 0.000 0.000
Eu1 0.000 0.500 0.500
Eu2 0.500 0.000 0.500
Tm1 0.500 0.500 0.000

---

DFT (GGA-PBE) results for a relaxed HfBRhO2 crystal.

Output
* electronic total energy: -35.9 eV/cell

Lattice parameters (Å, degrees): 3.634 3.634 4.227 90.00 90.00 90.00
Positions (direct):
Hf1 0.000 0.000 0.000
B1 0.500 0.500 0.500
Rh1 0.500 0.500 0.000
O1 0.000 0.500 0.500
O2 0.500 0.000 0.500

---

DFT (GGA-PBE) results for a relaxed TiAuI3 crystal.

Output
* relative energy among the computed polymorphs: 0.579 eV per atom

Lattice parameters (Å, degrees): 5.656 5.656 5.656 90.00 90.00 90.00
Positions (direct):
Ti1 0.000 0.000 0.000
Au1 0.500 0.500 0.500
I1 0.000 0.500 0.500
I2 0.500 0.000 0.500
I3 0.500 0.500 0.000